[1]
! ScHgPb2 | the Alexandria database | PBE | optimized geometry; values from VASP
&SYSTEM
  ibrav = 0, nat = 4, ntyp = 3
/
ATOMIC_SPECIES
Pb 207.20 Pb.upf
Hg 200.59 Hg.upf
Sc 44.96 Sc.upf
ATOMIC_POSITIONS crystal
Pb 0.9978 0.9978 0.9978
Hg 0.7500 0.7500 0.7500
Pb 0.5022 0.5022 0.5022
Sc 0.2500 0.2500 0.2500
CELL_PARAMETERS angstrom
-4.8291 -0.5278 9.1580
-3.1707 -3.6533 9.1688
-1.4658 -0.7422 10.2356
! Formation energy in meV per atom: -27
! M_tot in μB per formula unit: 0.0
! Total DFT energy (no corrections) in eV per cell: -14.16
! Calculated volume in Å³ per atom: 27.55
! DOS(E_F) in states/eV/atom: 1.24

***

[2]
! ScAgOs2Br | the Alexandria database | PBE | optimized geometry; values from VASP
&SYSTEM
  ibrav = 0, nat = 5, ntyp = 4
/
ATOMIC_SPECIES
Os 190.23 Os.upf
Br 79.90 Br.upf
Ag 107.87 Ag.upf
Sc 44.96 Sc.upf
ATOMIC_POSITIONS crystal
Os 0.0000 0.0000 0.5000
Os 0.5000 0.0000 0.0000
Br 0.0000 0.0000 0.0000
Ag 0.5000 0.5000 0.5000
Sc 0.0000 0.5000 0.0000
CELL_PARAMETERS angstrom
-3.9024 -1.6398 -1.7706
1.8423 -4.4348 0.0468
-1.6510 -0.6412 4.2327
! ΔE_f (raw) in eV/atom: 1.42
! M_tot in μB per formula unit: 0.0
! Total DFT energy (no corrections) in eV per cell: -26.21
! Calculated volume in Å³ per atom: 20.22
! DOS(E_F) in states/eV/atom: 1.06

***

[3]
! AlS2NF | the Alexandria database | PBE | optimized geometry; values from VASP
&SYSTEM
  ibrav = 0, nat = 5, ntyp = 4
/
ATOMIC_SPECIES
Al 26.98 Al.upf
S 32.06 S.upf
F 19.00 F.upf
N 14.01 N.upf
ATOMIC_POSITIONS crystal
Al 0.5000 0.5000 0.5000
S 0.5000 0.0000 0.0000
F 0.0000 0.0000 0.0000
N 0.0000 0.0000 0.5000
S 0.0000 0.5000 0.0000
CELL_PARAMETERS angstrom
4.4839 0.0000 0.0000
0.0000 4.4839 0.0000
0.0000 0.0000 3.7501
! ΔE_f (raw) in eV/atom: 1.32
! M_tot in μB per formula unit: 1.4
! Total DFT energy (no corrections) in eV per cell: -15.61
! Calculated volume in Å³ per atom: 15.08
! DOS(E_F) in states/eV/atom: 0.68

***

[4]
! TaGaBi3 | the Alexandria database | PBE | optimized geometry; values from VASP
&SYSTEM
  ibrav = 0, nat = 5, ntyp = 3
/
ATOMIC_SPECIES
Bi 208.98 Bi.upf
Ta 180.95 Ta.upf
Ga 69.72 Ga.upf
ATOMIC_POSITIONS crystal
Bi 0.5000 0.0000 0.0000
Bi 0.0000 0.0000 0.5000
Ta 0.0000 0.0000 0.0000
Bi 0.0000 0.5000 0.0000
Ga 0.5000 0.5000 0.5000
CELL_PARAMETERS angstrom
-1.7235 4.9886 1.6800
-4.2239 -2.3656 2.6910
3.1412 -0.4438 4.5404
! Formation energy in meV per atom: 545
! M_tot in μB per formula unit: 0.0
! Total DFT energy (no corrections) in eV per cell: -23.80
! Calculated volume in Å³ per atom: 33.99
! DOS(E_F) in states/eV/atom: 0.77

***

[5]
! Pm6InI8 | the Alexandria database | PBE | optimized geometry; values from VASP
&SYSTEM
  ibrav = 0, nat = 15, ntyp = 3
/
ATOMIC_SPECIES
I 126.90 I.upf
Pm 145.00 Pm.upf
In 114.82 In.upf
ATOMIC_POSITIONS crystal
I 0.6667 0.6667 0.9998
Pm 0.7359 0.0518 0.8452
I 0.8922 0.2307 0.3239
Pm 0.0518 0.3671 0.8452
Pm 0.9482 0.6329 0.1548
Pm 0.6329 0.2641 0.1548
I 0.1078 0.7693 0.6761
I 0.2307 0.5532 0.3239
I 0.3333 0.3333 0.0002
I 0.7693 0.4468 0.6761
I 0.4468 0.1078 0.6761
In 0.0000 0.0000 0.0000
I 0.5532 0.8922 0.3239
Pm 0.3671 0.7359 0.8452
Pm 0.2641 0.9482 0.1548
CELL_PARAMETERS angstrom
-6.9580 3.0978 0.8427
-6.0907 -3.3157 -3.2605
-6.0187 -6.4279 8.7749
! ΔE_f (raw) in eV/atom: -1.06
! M_tot in μB per formula unit: 0.0
! Total DFT energy (no corrections) in eV per cell: -59.54
! Calculated volume in Å³ per atom: 39.39
! DOS(E_F) in states/eV/atom: 0.49

***

[6]
! SnSbP | the Alexandria database | PBE | optimized geometry; values from VASP
&SYSTEM
  ibrav = 0, nat = 3, ntyp = 3
/
ATOMIC_SPECIES
Sb 121.76 Sb.upf
P 30.97 P.upf
Sn 118.71 Sn.upf
ATOMIC_POSITIONS crystal
Sb 0.6360 0.3333 0.6667
P 0.3307 0.6667 0.3333
Sn 0.0333 0.0000 0.0000
CELL_PARAMETERS angstrom
5.3518 0.0000 0.0000
0.0000 3.9838 0.0000
0.0000 -1.9919 3.4501
! ΔE_f (raw) in eV/atom: 0.12
! M_tot in μB per formula unit: 0.0
! Total DFT energy (no corrections) in eV per cell: -13.17
! Calculated volume in Å³ per atom: 24.52
! DOS(E_F) in states/eV/atom: 0.32